[1]
Below is a geometry-optimized ZnFeBr structure, with properties calculated at the GGA-PBE level.

Calculated values
The theoretical density is 5.1 g/cm3. The symmetry is No. 216. The magnetic moment is 3.01 Bohr magnetons per cell. As for the uncorrected formation energy: 871 meV/atom.

Cell: 4.5271 4.5271 4.5271 Å, 60.00 60.00 60.00°
Element x y z (fractional)
Zn1 0.0000 0.0000 0.0000
Fe1 0.7500 0.7500 0.7500
Br1 0.2500 0.2500 0.2500

=====

[2]
Below is a geometry-optimized GePRu3 structure, with properties calculated at the GGA-PBE level.

Calculated values
The value obtained for the energy relative to the elements is 0.4407 eV per atom. The theoretical density is 8.2 g/cm3. The symmetry is No. 221. The magnetic moment is 0.00 Bohr magnetons per cell.

Cell: 4.3552 4.3552 4.3552 Å, 90.00 90.00 90.00°
Element x y z (fractional)
Ge1 0.0000 0.0000 0.0000
P1 0.5000 0.5000 0.5000
Ru1 0.0000 0.5000 0.5000
Ru2 0.5000 0.0000 0.5000
Ru3 0.5000 0.5000 0.0000

=====

> Which formula does entry 2 have?

GePRu3

=====

> Which value of theoretical density does entry 1 give?

5.1 g/cm3

=====

> Number 1 is which compound?

ZnFeBr

=====

> Among the records above, which one has the highest magnetic moment?

ZnFeBr